The following is a DFT calculation (GGA-PBE) of a relaxed Zr4MnRh3 crystal.

Unit cell a=3.288 b=3.288 c=12.964 alpha=90.00 beta=90.00 gamma=90.00
Element x y z (fractional)
Zr 0.000 0.000 0.119
Zr 0.000 0.000 0.373
Zr 0.000 0.000 0.627
Zr 0.000 0.000 0.881
Mn 0.500 0.500 0.000
Rh 0.500 0.500 0.249
Rh 0.500 0.500 0.500
Rh 0.500 0.500 0.751

Space group = P4/mmm, No. 123
DFT formation energy = -606 meV per atom